Record 1
An optimized crystal structure of Na2BiF, computed with PBE.

```
4
Lattice="3.5052 0.0000 0.0000 1.7526 3.0356 0.0000 1.7526 1.0119 7.9403" Properties=species:S:1:pos:R:3 pbc="T T T"
Bi 3.5052 2.0238 3.9701
F 0.0000 0.0000 0.0000
Na 5.2579 3.0356 6.6162
Na 1.7526 1.0119 1.3240
```

Properties
Spin magnetization in μB/f.u.: 0.00
Symmetry: R-3m
E_form (uncorrected) in kcal/mol of atoms: -33.3

=====

Record 2
An optimized crystal structure of NaBi2F, computed with PBE.

```
4
Lattice="0.0000 3.5950 3.5950 3.5950 0.0000 3.5950 3.5950 3.5950 0.0000" Properties=species:S:1:pos:R:3 pbc="T T T"
F 0.0000 0.0000 0.0000
Na 3.5950 3.5950 3.5950
Bi 5.3925 5.3925 5.3925
Bi 1.7975 1.7975 1.7975
```

Properties
Spin magnetization in μB/f.u.: 0.00
Symmetry: Fm-3m
E_form (uncorrected) in kcal/mol of atoms: -11.2

=====

Record 3
An optimized crystal structure of NaBiF2, computed with PBE.

```
8
Lattice="-4.6263 -3.5725 -0.5157 3.6094 -4.5839 -0.6254 -0.5255 -4.7054 3.9286" Properties=species:S:1:pos:R:3 pbc="T T T"
Na 1.2878 -6.6837 1.3664
Bi 0.0000 0.0000 0.0000
Bi -2.8301 -6.1780 1.4212
Na -0.5084 -4.0782 -0.5705
F 1.2695 -4.7015 0.4960
F -2.2949 -3.7684 0.6125
F -1.4998 -10.3917 1.9855
F -0.5595 -6.8619 2.4812
```

Properties
Spin magnetization in μB/f.u.: 0.00
Symmetry: I-42d
E_form (uncorrected) in kcal/mol of atoms: -39.7

=====

Record 4
An optimized crystal structure of Na6BiF12, computed with PBE.

```
19
Lattice="6.4722 0.0000 -2.2883 -3.2361 5.6051 -2.2883 0.0000 0.0000 6.8648" Properties=species:S:1:pos:R:3 pbc="T T T"
F 5.0332 0.8131 2.5632
F 4.5792 1.6527 -1.6027
F 0.8583 4.7920 1.6027
F -1.7972 4.7920 -0.2750
F 3.2514 3.9524 0.2750
F 1.8125 4.7655 -2.5632
Na 2.7079 2.8025 -1.5176
F -0.0153 1.6527 2.0133
Na 0.5282 2.8025 3.8059
Na 4.3092 1.8587 0.7706
F -1.3431 3.9524 3.8910
F 1.4236 0.8396 4.8515
F 2.3778 0.8131 0.6855
Na -1.0731 3.7464 1.5176
Na 2.6912 0.9438 3.0589
F 2.7513 3.1393 2.9738
F 0.4847 2.4658 -0.6855
Na 0.5449 4.6612 -0.7706
Bi 0.0000 0.0000 0.0000
```

Properties
Spin magnetization in μB/f.u.: 3.00
Symmetry: Im-3
E_form (uncorrected) in kcal/mol of atoms: -46.6

=====

Record 5
An optimized crystal structure of Na2BiF8, computed with PBE.

```
11
Lattice="4.7087 0.0001 -0.0001 -0.0005 5.9675 -3.4444 0.0003 -0.0019 6.8895" Properties=species:S:1:pos:R:3 pbc="T T T"
Na 3.4926 3.9776 -0.0003
F 3.5543 5.1184 -1.9857
F 1.1540 4.2778 3.4393
F 1.1501 3.9775 -0.0003
F 3.5546 5.1267 1.9803
Bi 0.0003 -0.0019 6.8894
F 1.1542 0.8472 5.4306
F 3.5545 1.6878 0.0056
F 1.1540 0.8389 1.4646
F 3.5584 1.9882 3.4450
Na 1.2159 1.9881 3.4451
```

Properties
Spin magnetization in μB/f.u.: 1.00
Symmetry: P-3
E_form (uncorrected) in kcal/mol of atoms: -45.2

=====

Record 6
An optimized crystal structure of Na12Bi3F5, computed with PBE.

```
80
Lattice="-8.9127 -10.1792 1.8787 2.7325 1.2582 -13.3241 11.5392 -2.7431 6.7752" Properties=species:S:1:pos:R:3 pbc="T T T"
Na 5.2549 -2.1313 1.0438
F 3.7539 -9.8773 5.6718
F 0.0966 -10.3067 2.5474
Bi -4.5722 -9.4353 1.6722
Na 0.7665 -4.7143 -1.1407
Na 3.5256 -5.7394 3.3677
F -0.6495 -7.8767 -4.3778
Na 6.7068 -3.0224 -2.2981
Bi 2.9185 -8.2479 -6.0150
Na 1.1171 -6.4828 -4.1981
F -4.4563 -5.0896 0.9394
Na 11.1283 -4.6961 -4.5687
Na -2.7361 -5.2586 -0.8903
F 2.5637 -10.1778 -1.6023
F 2.6795 -5.8321 -2.3351
Na 8.5222 -4.9207 -6.9982
Bi 5.9192 -4.5880 -5.0540
Na 6.6091 -3.6803 3.9360
F 2.7954 -1.4864 -3.0679
Na 6.1947 -0.7919 -9.1942
Na 6.7610 -7.9778 -0.6464
Na 2.8906 -0.1742 -11.2604
F 6.0085 -3.7874 -0.2923
Na -3.1632 -6.7434 2.3280
F 5.6537 -5.7173 4.1204
Na 4.5926 -6.9498 -3.5294
Na 3.1960 -3.6644 -3.5056
Bi -4.3068 -8.3061 -7.5023
F 1.6052 -1.7868 -10.3420
Na -1.2500 -7.9838 -8.6061
Na 0.1074 -4.9197 2.7441
F 5.2625 -1.3574 -7.2175
F 5.7696 -1.3715 3.3876
Na 5.2516 -6.7444 -7.4143
F 0.0000 0.0000 0.0000
Na 4.0555 -10.7805 -0.0189
Na -4.2387 -10.4157 -1.2586
Na 0.1042 -9.5328 -5.7140
F -1.2167 -3.8455 -1.7796
F 1.3133 -6.4612 4.3270
Na 10.4052 -1.8439 0.2201
Na -1.3477 -8.6417 -2.3720
Na 4.2579 -10.3058 3.5135
Na -5.0462 -9.8203 -4.8903
Na -1.3315 -4.3937 -7.5223
Na 1.1011 -1.3583 -8.1837
Na 4.2420 -5.1813 -0.4720
Na 8.0952 -6.4055 -3.7798
Na 4.1852 -3.3390 -7.3114
Na -1.4445 -10.0064 0.9254
Bi -4.2174 -7.5055 -2.7406
Na -5.7693 -6.9680 -0.1015
Na 6.8036 -1.6577 -5.5955
Na 9.5978 -1.2484 -3.4115
F -3.0901 -4.4605 -5.7227
Na -2.4714 -6.8495 -5.2272
Na 1.1739 -8.3251 2.6412
Na 7.8305 -4.8146 0.5571
Bi 1.2504 -3.7166 -5.9292
Bi 9.5765 -4.1586 -1.9296
Na 10.0439 -4.4660 5.7117
Na -0.8357 -10.8722 4.5240
Na -1.4019 -3.6863 -4.0238
Bi 9.6659 -3.3581 2.8321
Na 1.8335 -5.9247 -8.0379
Na 1.3035 -0.8836 -4.6512
F -0.2946 -5.9469 -8.7906
Na 2.1631 -7.9997 -1.1645
Bi 4.1087 -7.9475 1.2591
F 7.1359 -0.7424 -3.2744
Na -4.6848 -7.1981 -10.3818
Na 3.3509 -10.5032 -3.6928
F 1.3663 0.6291 -6.6621
F 6.5758 -7.8186 -2.8906
Bi 2.4406 -3.4162 1.3449
Bi 9.9313 -2.2288 -6.3423
Bi -0.5601 -7.0761 0.3839
Na 2.4685 -11.4899 6.5902
Na 2.0081 -1.1609 -0.9774
Na 6.6905 -7.2704 2.8521
```

Properties
Spin magnetization in μB/f.u.: 0.00
Symmetry: Ia-3d
E_form (uncorrected) in kcal/mol of atoms: -32.0